Compound: Nd2TmIn
Source: Alexandria
Functional: PBE
Structure: relaxed

## Properties
density = 7.95 Mg/m³
energy relative to the lowest polymorph listed for this composition = 0 meV/atom
DFT total energy = -4.453 eV/atom

Lattice parameters (Å, degrees): 4.897 4.897 4.985 90.00 90.00 90.00
Space group P4/mmm (No. 123)
Symmetry-distinct sites (fractional):
Nd: 0.000 0.500 0.000 [2 per cell]
Tm: 0.000 0.000 0.500 [1 per cell]
In: 0.500 0.500 0.500 [1 per cell]